First-principles (PBE) data for a relaxed NbInPd3 crystal, as listed in Alexandria via LeMat-Bulk.

Calculated values
The raw total energy comes out at -4.943 eV/atom. The symmetry is Pm-3m, No. 221.

abc: 4.8952 4.8952 4.8952
angles: 90.00 90.00 90.00
Atoms (fractional coordinates):
1 Nb 0.0000 0.0000 0.0000
2 In 0.5000 0.5000 0.5000
3 Pd 0.0000 0.0000 0.5000
4 Pd 0.0000 0.5000 0.0000
5 Pd 0.5000 0.0000 0.0000

First-principles (PBE) data for a relaxed ZrAgHg crystal, as listed in Alexandria via LeMat-Bulk.

Calculated values
The raw total energy comes out at -3.920 eV/atom. The symmetry is Imm2, No. 44.

abc: 5.2077 5.2077 5.2077
angles: 146.01 128.64 63.03
Atoms (fractional coordinates):
1 Zr 0.0000 0.0000 0.0000
2 Ag 0.3323 0.3323 0.0000
3 Hg 0.6640 0.6640 0.0000

First-principles (PBE) data for a relaxed PuNpV2 crystal, as listed in Alexandria via LeMat-Bulk.

Calculated values
The raw total energy comes out at -10.908 eV/atom. The symmetry is P4/mmm, No. 123.

abc: 3.2040 3.2040 7.1830
angles: 90.00 90.00 90.00
Atoms (fractional coordinates):
1 Pu 0.0000 0.0000 0.0000
2 Np 0.0000 0.0000 0.5000
3 V 0.5000 0.5000 0.3052
4 V 0.5000 0.5000 0.6948

First-principles (PBE) data for a relaxed UV3 crystal, as listed in Alexandria via LeMat-Bulk.

Calculated values
The raw total energy comes out at -9.242 eV/atom. The symmetry is Pm-3m, No. 221.

abc: 4.0235 4.0235 4.0235
angles: 90.00 90.00 90.00
Atoms (fractional coordinates):
1 U 0.0000 0.0000 0.0000
2 V 0.0000 0.5000 0.5000
3 V 0.5000 0.0000 0.5000
4 V 0.5000 0.5000 0.0000

First-principles (PBE) data for a relaxed Zr2MnCrAg crystal, as listed in Alexandria via LeMat-Bulk.

Calculated values
The raw total energy comes out at -7.226 eV/atom. The symmetry is P4/mmm, No. 123.

abc: 4.9071 4.9071 4.2132
angles: 90.00 90.00 90.00
Atoms (fractional coordinates):
1 Zr 0.0000 0.5000 0.0000
2 Zr 0.5000 0.0000 0.0000
3 Mn 0.0000 0.0000 0.0000
4 Cr 0.0000 0.0000 0.5000
5 Ag 0.5000 0.5000 0.5000

First-principles (PBE) data for a relaxed TaTc2Ni2 crystal, as listed in Alexandria via LeMat-Bulk.

Calculated values
The raw total energy comes out at -8.763 eV/atom. The symmetry is P4/mbm, No. 127.

abc: 6.5287 6.5287 3.2657
angles: 90.00 90.00 90.00
Atoms (fractional coordinates):
1 Ta 0.0000 0.0000 0.0000
2 Ta 0.5000 0.5000 0.0000
3 Tc 0.1676 0.3324 0.5000
4 Tc 0.3324 0.8324 0.5000
5 Tc 0.6676 0.1676 0.5000
6 Tc 0.8324 0.6676 0.5000
7 Ni 0.1256 0.6256 0.0000
8 Ni 0.3744 0.1256 0.0000
9 Ni 0.6256 0.8744 0.0000
10 Ni 0.8744 0.3744 0.0000

First-principles (PBE) data for a relaxed Cr2InSb crystal, as listed in Alexandria via LeMat-Bulk.

Calculated values
The symmetry is P4/mmm, No. 123. The calculation puts the formation energy (no corrections) at 0.4232 eV per atom.

abc: 4.6060 4.6060 3.7621
angles: 90.00 90.00 90.00
Atoms (fractional coordinates):
1 Cr 0.0000 0.5000 0.0000
2 Cr 0.5000 0.0000 0.0000
3 In 0.0000 0.0000 0.5000
4 Sb 0.5000 0.5000 0.5000

First-principles (PBE) data for a relaxed Li2TiIn3 crystal, as listed in Alexandria via LeMat-Bulk.

Calculated values
The raw total energy comes out at -3.541 eV/atom. The symmetry is P4/mmm, No. 123.

abc: 3.1854 3.1854 11.3926
angles: 90.00 90.00 90.00
Atoms (fractional coordinates):
1 Li 0.0000 0.0000 0.1643
2 Li 0.0000 0.0000 0.8357
3 Ti 0.0000 0.0000 0.5000
4 In 0.5000 0.5000 0.0000
5 In 0.5000 0.5000 0.3304
6 In 0.5000 0.5000 0.6696

First-principles (PBE) data for a relaxed AlTlHg crystal, as listed in Alexandria via LeMat-Bulk.

Calculated values
The raw total energy comes out at -2.022 eV/atom. The symmetry is P2/m, No. 10.

abc: 5.3654 4.6752 6.8231
angles: 90.00 107.60 90.00
Atoms (fractional coordinates):
1 Al 0.2283 0.0000 0.4257
2 Al 0.7717 0.0000 0.5743
3 Tl 0.4216 0.5000 0.2089
4 Tl 0.5784 0.5000 0.7911
5 Hg 0.0000 0.0000 0.0000
6 Hg 0.0000 0.5000 0.5000

First-principles (PBE) data for a relaxed TaAg2Ir crystal, as listed in Alexandria via LeMat-Bulk.

Calculated values
The raw total energy comes out at -6.440 eV/atom. The symmetry is Cm, No. 8.

abc: 4.8348 4.8348 5.1011
angles: 101.29 101.29 35.90
Atoms (fractional coordinates):
1 Ta 0.0000 0.0000 0.0000
2 Ag 0.2407 0.2407 0.6900
3 Ag 0.4862 0.4862 0.4788
4 Ir 0.7352 0.7352 0.1700

First-principles (PBE) data for a relaxed NdHoPd2 crystal, as listed in Alexandria via LeMat-Bulk.

Calculated values
The raw total energy comes out at -5.748 eV/atom. The symmetry is P4/mmm, No. 123.

abc: 3.4915 3.4915 7.3650
angles: 90.00 90.00 90.00
Atoms (fractional coordinates):
1 Nd 0.0000 0.0000 0.0000
2 Ho 0.0000 0.0000 0.5000
3 Pd 0.5000 0.5000 0.2724
4 Pd 0.5000 0.5000 0.7276

First-principles (PBE) data for a relaxed NdZnIn6 crystal, as listed in Alexandria via LeMat-Bulk.

Calculated values
The raw total energy comes out at -2.954 eV/atom. The symmetry is Cmmm, No. 65.

abc: 6.8845 6.8845 4.2983
angles: 90.00 90.00 92.01
Atoms (fractional coordinates):
1 Nd 0.0000 0.0000 0.0000
2 Zn 0.5000 0.5000 0.0000
3 In 0.0000 0.5000 0.0000
4 In 0.2629 0.7371 0.5000
5 In 0.2750 0.2750 0.5000
6 In 0.5000 0.0000 0.0000
7 In 0.7250 0.7250 0.5000
8 In 0.7371 0.2629 0.5000